Record 1
The following is a PBE-GGA calculation of Tl2SnAuI after structural relaxation, from Alexandria.

Summary:
Total energy, eV/atom: -2.76
Size of the total moment, Bohr magnetons per cell: 0.0

Geometry as extended XYZ:
```
5
Lattice="6.096 0.000 0.000 0.000 6.096 0.000 0.000 0.000 5.166" Properties=species:S:1:pos:R:3 pbc="T T T"
Tl 0.000 3.048 0.000
Tl 3.048 0.000 0.000
Sn 0.000 0.000 0.000
Au 0.000 0.000 2.583
I 3.048 3.048 2.583
```

Record 2
The following is a PBE-GGA calculation of Ba2LaCu2HgO7 after structural relaxation, from Alexandria.

Summary:
Total energy, eV/atom: -5.70
Size of the total moment, Bohr magnetons per cell: 0.7

Geometry as extended XYZ:
```
13
Lattice="3.931 0.000 0.000 0.000 3.931 0.000 0.000 0.000 12.848" Properties=species:S:1:pos:R:3 pbc="T T T"
Ba 0.000 0.000 2.563
Ba 0.000 0.000 10.285
La 0.000 0.000 6.424
Cu 1.966 1.966 4.587
Cu 1.966 1.966 8.261
Hg 1.966 1.966 0.000
O 0.000 0.000 0.000
O 0.000 1.966 4.850
O 0.000 1.966 7.998
O 1.966 0.000 4.850
O 1.966 0.000 7.998
O 1.966 1.966 2.127
O 1.966 1.966 10.721
```

Record 3
The following is a PBE-GGA calculation of LiAcDyHg after structural relaxation, from Alexandria.

Summary:
Energy relative to the elements, kJ/mol of formula units: -63
Total energy, eV/atom: -2.89
Size of the total moment, Bohr magnetons per cell: 0.0

Geometry as extended XYZ:
```
4
Lattice="0.000 3.881 3.881 3.881 0.000 3.881 3.881 3.881 0.000" Properties=species:S:1:pos:R:3 pbc="T T T"
Li 0.000 0.000 0.000
Ac 1.941 1.941 1.941
Dy 5.822 5.822 5.822
Hg 3.881 3.881 3.881
```

Record 4
The following is a PBE-GGA calculation of Pu2PtSe after structural relaxation, from Alexandria.

Summary:
Energy relative to the lowest polymorph listed for this composition, eV per atom: 0.084
Total energy, eV/atom: -10.55
Size of the total moment, Bohr magnetons per cell: 11.5

Geometry as extended XYZ:
```
4
Lattice="3.531 0.000 0.000 0.000 3.531 0.000 0.000 0.000 7.164" Properties=species:S:1:pos:R:3 pbc="T T T"
Pu 0.000 0.000 1.748
Pu 0.000 0.000 5.416
Pt 1.765 1.765 0.000
Se 1.765 1.765 3.582
```

Record 5
The following is a PBE-GGA calculation of ScAl6Tc after structural relaxation, from Alexandria.

Summary:
Energy relative to the elements, kJ/mol of formula units: 132
Total energy, eV/atom: -4.72
Size of the total moment, Bohr magnetons per cell: 0.0

Geometry as extended XYZ:
```
8
Lattice="2.813 1.624 6.234 -2.813 1.624 6.234 0.000 -3.248 6.234" Properties=species:S:1:pos:R:3 pbc="T T T"
Sc 0.000 0.000 0.000
Al -1.452 -0.838 7.579
Al 0.000 -1.677 11.122
Al -1.452 0.838 11.122
Al 1.452 -0.838 7.579
Al 0.000 1.677 7.579
Al 1.452 0.838 11.122
Tc 0.000 0.000 9.351
```

Record 6
The following is a PBE-GGA calculation of BaAcIr after structural relaxation, from Alexandria.

Summary:
Energy relative to the lowest polymorph listed for this composition, eV per atom: 0.123
Energy relative to the elements, kJ/mol of formula units: -74
Total energy, eV/atom: -5.22
Size of the total moment, Bohr magnetons per cell: 0.0

Geometry as extended XYZ:
```
3
Lattice="-1.912 1.912 7.435 1.912 -1.912 7.435 1.912 1.912 -7.435" Properties=species:S:1:pos:R:3 pbc="T T T"
Ba 0.000 0.000 0.000
Ac 0.000 0.000 3.553
Ir 0.000 0.000 9.551
```